(1)
Computed, not measured: a relaxed AlZnMo2 crystal at the PBE level of DFT. Values from VASP.

Values from the calculation:
raw total energy: -6.669 eV/atom
mass density: 7.760 g cm⁻³
space group: Immm (71)

Cell and atoms, written as Quantum ESPRESSO input:
```
&SYSTEM
  ibrav = 0, nat = 4, ntyp = 3
/
ATOMIC_SPECIES
Al 26.98 Al.upf
Zn 65.41 Zn.upf
Mo 95.94 Mo.upf
CELL_PARAMETERS angstrom
-1.6635 2.1166 4.3192
1.6635 -2.1166 4.3192
1.6635 2.1166 -4.3192
ATOMIC_POSITIONS crystal
Al 0.0000 0.0000 0.0000
Zn 0.5000 0.5000 0.0000
Mo 0.2503 0.7503 0.5000
Mo 0.7497 0.2497 0.5000
```


(2)
Computed, not measured: a relaxed Dy2TmOs crystal at the PBE level of DFT. Values from VASP.

Values from the calculation:
excess energy over the best structure of this formula in the dataset: 0.553 eV/atom
mass density: 10.380 g cm⁻³
space group: R-3m (166)

Cell and atoms, written as Quantum ESPRESSO input:
```
&SYSTEM
  ibrav = 0, nat = 4, ntyp = 3
/
ATOMIC_SPECIES
Dy 162.50 Dy.upf
Tm 168.93 Tm.upf
Os 190.23 Os.upf
CELL_PARAMETERS angstrom
1.7121 0.9885 10.7786
-1.7121 0.9885 10.7786
0.0000 -1.9770 10.7786
ATOMIC_POSITIONS crystal
Dy 0.1046 0.1046 0.1046
Dy 0.8954 0.8954 0.8954
Tm 0.0000 0.0000 0.0000
Os 0.5000 0.5000 0.5000
```


(3)
Computed, not measured: a relaxed ReTe2Se crystal at the PBE level of DFT. Values from VASP.

Values from the calculation:
E_form (uncorrected): 819 meV per atom
mass density: 8.907 g cm⁻³
space group: R-3m (166)

Cell and atoms, written as Quantum ESPRESSO input:
```
&SYSTEM
  ibrav = 0, nat = 4, ntyp = 3
/
ATOMIC_SPECIES
Re 186.21 Re.upf
Te 127.60 Te.upf
Se 78.96 Se.upf
CELL_PARAMETERS angstrom
1.5111 0.8724 12.2643
-1.5111 0.8724 12.2643
0.0000 -1.7449 12.2643
ATOMIC_POSITIONS crystal
Re 0.0000 0.0000 0.0000
Te 0.0727 0.0727 0.0727
Te 0.9273 0.9273 0.9273
Se 0.5000 0.5000 0.5000
```


(4)
Computed, not measured: a relaxed Tc2NiSnH crystal at the PBE level of DFT. Values from VASP.

Values from the calculation:
raw total energy: -6.625 eV/atom
mass density: 9.903 g cm⁻³
space group: P4/mmm (123)

Cell and atoms, written as Quantum ESPRESSO input:
```
&SYSTEM
  ibrav = 0, nat = 5, ntyp = 4
/
ATOMIC_SPECIES
Tc 98.00 Tc.upf
Ni 58.69 Ni.upf
Sn 118.71 Sn.upf
H 1.01 H.upf
CELL_PARAMETERS angstrom
3.9673 0.0000 0.0000
0.0000 3.9673 0.0000
0.0000 0.0000 3.9890
ATOMIC_POSITIONS crystal
Tc 0.0000 0.5000 0.0000
Tc 0.5000 0.0000 0.0000
Ni 0.0000 0.0000 0.5000
Sn 0.5000 0.5000 0.5000
H 0.0000 0.0000 0.0000
```


(5)
Computed, not measured: a relaxed SbAsCl2 crystal at the PBE level of DFT. Values from VASP.

Values from the calculation:
excess energy over the best structure of this formula in the dataset: 0.000 eV/atom
E_form (uncorrected): -435 meV per atom
mass density: 3.268 g cm⁻³
space group: Cm (8)

Cell and atoms, written as Quantum ESPRESSO input:
```
&SYSTEM
  ibrav = 0, nat = 4, ntyp = 3
/
ATOMIC_SPECIES
Sb 121.76 Sb.upf
As 74.92 As.upf
Cl 35.45 Cl.upf
CELL_PARAMETERS angstrom
5.6915 -1.9670 0.0000
5.6915 1.9670 0.0000
-1.1548 0.0000 6.0729
ATOMIC_POSITIONS crystal
Sb 0.0000 0.0000 0.0000
As 0.5864 0.5864 0.2936
Cl 0.1825 0.1825 0.8544
Cl 0.4209 0.4209 0.4434
```


(6)
Computed, not measured: a relaxed Sm5Y2Er crystal at the PBE level of DFT. Values from VASP.

Values from the calculation:
excess energy over the best structure of this formula in the dataset: 0.000 eV/atom
mass density: 6.817 g cm⁻³
space group: P-1 (2)

Cell and atoms, written as Quantum ESPRESSO input:
```
&SYSTEM
  ibrav = 0, nat = 16, ntyp = 3
/
ATOMIC_SPECIES
Sm 150.36 Sm.upf
Y 88.91 Y.upf
Er 167.26 Er.upf
CELL_PARAMETERS angstrom
6.8274 0.0000 0.0000
2.9089 8.8459 0.0000
2.9030 -0.2125 8.8483
ATOMIC_POSITIONS crystal
Sm 0.1223 0.1477 0.4801
Sm 0.1248 0.9798 0.1455
Sm 0.1266 0.4796 0.6474
Sm 0.3741 0.6034 0.2689
Sm 0.3778 0.7728 0.6049
Sm 0.6222 0.2272 0.3951
Sm 0.6259 0.3966 0.7311
Sm 0.8734 0.5204 0.3526
Sm 0.8752 0.0202 0.8545
Sm 0.8777 0.8523 0.5199
Y 0.1262 0.6456 0.9784
Y 0.3757 0.1037 0.7748
Y 0.6243 0.8963 0.2252
Y 0.8738 0.3544 0.0216
Er 0.3739 0.2714 0.1031
Er 0.6261 0.7286 0.8969
```


(7)
Computed, not measured: a relaxed LaIn2Rh crystal at the PBE level of DFT. Values from VASP.

Values from the calculation:
raw total energy: -4.571 eV/atom
mass density: 7.908 g cm⁻³
space group: Cmmm (65)

Cell and atoms, written as Quantum ESPRESSO input:
```
&SYSTEM
  ibrav = 0, nat = 4, ntyp = 3
/
ATOMIC_SPECIES
La 138.91 La.upf
In 114.82 In.upf
Rh 102.91 Rh.upf
CELL_PARAMETERS angstrom
2.8630 -4.8399 0.0000
2.8630 4.8399 0.0000
0.0000 0.0000 3.5719
ATOMIC_POSITIONS crystal
La 0.0000 0.0000 0.0000
In 0.0000 0.5000 0.5000
In 0.5000 0.0000 0.5000
Rh 0.5000 0.5000 0.0000
```


(8)
Computed, not measured: a relaxed Li2InCuH crystal at the PBE level of DFT. Values from VASP.

Values from the calculation:
excess energy over the best structure of this formula in the dataset: 0.289 eV/atom
mass density: 3.865 g cm⁻³
space group: P4/mmm (123)

Cell and atoms, written as Quantum ESPRESSO input:
```
&SYSTEM
  ibrav = 0, nat = 5, ntyp = 4
/
ATOMIC_SPECIES
Li 6.94 Li.upf
In 114.82 In.upf
Cu 63.55 Cu.upf
H 1.01 H.upf
CELL_PARAMETERS angstrom
5.1247 0.0000 0.0000
0.0000 5.1247 0.0000
0.0000 0.0000 3.1615
ATOMIC_POSITIONS crystal
Li 0.0000 0.5000 0.0000
Li 0.5000 0.0000 0.0000
In 0.0000 0.0000 0.5000
Cu 0.5000 0.5000 0.0000
H 0.5000 0.5000 0.5000
```


| no. | total magnetic moment (μB per cell) |
| --- | --- |
| 1 | 0.00 |
| 2 | 0.36 |
| 3 | 0.00 |
| 4 | 0.45 |
| 5 | 0.00 |
| 6 | 0.00 |
| 7 | 0.00 |
| 8 | 0.00 |